An optimized crystal structure of LiH4Rh2, computed with PBE.

Results
The total energy comes out at -4.497 eV per atom. The value obtained for the offset from the most stable computed form is 0.0 meV per atom. The value obtained for the density of states at the Fermi level is 2.7 states/eV/cell. Its density is 5.84 Mg/m³.

Cell and atoms, written as POSCAR:
```
LiH4Rh2
1.0
-2.792 2.792 3.953
2.792 -2.792 3.953
2.792 2.792 -3.953
Li H Rh
2 8 4
Direct
0.375 0.625 0.750
0.625 0.375 0.250
0.190 0.230 0.960
0.230 0.190 0.460
0.230 0.769 0.040
0.231 0.770 0.460
0.769 0.230 0.540
0.770 0.231 0.960
0.770 0.810 0.540
0.810 0.770 0.040
0.000 0.000 0.000
0.000 0.000 0.500
0.000 0.500 0.000
0.500 0.000 0.500
```